Tm2ThP3Rh12 (PBE, optimized geometry); space-group type = No. 166; formation energy from the elements = -0.47 eV per atom; uncorrected energy = -129.29 eV/cell
1.0
-1.3634 -4.0703 5.1653
-0.9264 -5.5738 -3.6305
6.2157 -2.4383 0.7257
Tm Th P Rh
2 1 3 12
direct
0.6248 0.6248 0.6248
0.3752 0.3752 0.3752
0.0000 0.0000 0.0000
0.5000 0.0000 0.0000
0.0000 0.5000 0.0000
0.0000 0.0000 0.5000
0.3692 0.3692 0.9080
0.8185 0.8185 0.3413
0.3413 0.8185 0.8185
0.9080 0.3692 0.3692
0.8185 0.3413 0.8185
0.3692 0.9080 0.3692
0.6308 0.6308 0.0920
0.1815 0.1815 0.6587
0.6587 0.1815 0.1815
0.0920 0.6308 0.6308
0.1815 0.6587 0.1815
0.6308 0.0920 0.6308